# 1
10
Lattice="-1.7379 1.7379 9.7020 1.7379 -1.7379 9.7020 1.7379 1.7379 -9.7020" Properties=species:S:1:pos:R:3 comment="HfBe2Co2 | Alexandria | PBE-GGA | optimized geometry" relative_energy_ev_per_atom=0.000 magmom_total_mub_per_cell=1.194 formation_enthalpy_0k_ev_per_atom=-0.297 spacegroup="I4/mmm (139)" vol_a3_per_atom=11.7 pbc="T T T"
Hf 0.0000 0.0000 2.4398
Hf 0.0000 0.0000 16.9642
Be 1.7379 0.0000 0.0000
Be 0.0000 0.0000 6.1770
Be 0.0000 1.7379 0.0000
Be 0.0000 0.0000 13.2269
Co 1.7379 0.0000 4.8510
Co 0.0000 0.0000 8.3843
Co 0.0000 0.0000 11.0196
Co 0.0000 1.7379 4.8510

=====

# 2
5
Lattice="5.4293 0.0000 0.0000 0.0000 5.4293 0.0000 0.0000 0.0000 5.4293" Properties=species:S:1:pos:R:3 comment="NbTeCl3 | Alexandria | PBE-GGA | optimized geometry" magmom_total_mub_per_cell=3.943 e_form_raw_mev_per_atom=704 spacegroup="Pm-3m (221)" vol_a3_per_atom=32.0 pbc="T T T"
Nb 0.0000 0.0000 0.0000
Te 2.7146 2.7146 2.7146
Cl 0.0000 2.7146 2.7146
Cl 2.7146 0.0000 2.7146
Cl 2.7146 2.7146 0.0000

=====

# 3
5
Lattice="6.5240 0.0000 0.0000 0.0000 6.5240 0.0000 0.0000 0.0000 6.8151" Properties=species:S:1:pos:R:3 comment="BaTaTeI2 | Alexandria | PBE-GGA | optimized geometry" relative_energy_ev_per_atom=1.247 magmom_total_mub_per_cell=0.973 e_form_raw_mev_per_atom=858 spacegroup="P4/mmm (123)" vol_a3_per_atom=58.0 pbc="T T T"
Ba 0.0000 0.0000 0.0000
Ta 3.2620 3.2620 3.4075
Te 0.0000 0.0000 3.4075
I 0.0000 3.2620 0.0000
I 3.2620 0.0000 0.0000

=====

# 4
10
Lattice="9.6625 0.0000 0.0000 0.0000 9.6625 0.0000 0.0000 0.0000 3.8611" Properties=species:S:1:pos:R:3 comment="CsBa2As2 | Alexandria | PBE-GGA | optimized geometry" relative_energy_ev_per_atom=0.000 magmom_total_mub_per_cell=0.000 formation_enthalpy_0k_ev_per_atom=-0.767 spacegroup="P4/mbm (127)" vol_a3_per_atom=36.0 pbc="T T T"
Cs 0.0000 0.0000 0.0000
Cs 4.8312 4.8312 0.0000
Ba 1.2703 3.5610 0.0000
Ba 3.5610 8.3922 0.0000
Ba 6.1015 1.2703 0.0000
Ba 8.3922 6.1015 0.0000
As 1.6026 6.4338 1.9305
As 3.2287 1.6026 1.9305
As 6.4338 8.0599 1.9305
As 8.0599 3.2287 1.9305